(1)
Material: CrS
Method: DFT, GGA-PBE
State: relaxed

```
data_CrS
_cell_length_a 8.672
_cell_length_b 8.672
_cell_length_c 3.212
_cell_angle_alpha 90.00
_cell_angle_beta 90.00
_cell_angle_gamma 120.00
_symmetry_space_group_name_H-M 'P 1'
_symmetry_Int_Tables_number 1
loop_
_symmetry_equiv_pos_as_xyz
'x,y,z'
loop_
_atom_site_label
_atom_site_type_symbol
_atom_site_fract_x
_atom_site_fract_y
_atom_site_fract_z
_atom_site_occupancy
Cr1 Cr 0.905 0.374 0.250 1
Cr2 Cr 0.531 0.905 0.750 1
Cr3 Cr 0.626 0.531 0.250 1
Cr4 Cr 0.095 0.626 0.750 1
Cr5 Cr 0.469 0.095 0.250 1
Cr6 Cr 0.374 0.469 0.750 1
S1 S 0.711 0.075 0.250 1
S2 S 0.636 0.711 0.750 1
S3 S 0.925 0.636 0.250 1
S4 S 0.289 0.925 0.750 1
S5 S 0.364 0.289 0.250 1
S6 S 0.075 0.364 0.750 1
```

Values from the calculation:
ΔE_f (raw)	-423	meV per atom
calculated total energy	-87.583	eV for the cell shown
D(E_F)	1.04	states/eV/f.u.

(2)
Material: Ba2MgTe
Method: DFT, GGA-PBE
State: relaxed

```
data_Ba2MgTe
_cell_length_a 4.226
_cell_length_b 4.226
_cell_length_c 9.690
_cell_angle_alpha 90.00
_cell_angle_beta 90.00
_cell_angle_gamma 89.98
_symmetry_space_group_name_H-M 'P 1'
_symmetry_Int_Tables_number 1
loop_
_symmetry_equiv_pos_as_xyz
'x,y,z'
loop_
_atom_site_label
_atom_site_type_symbol
_atom_site_fract_x
_atom_site_fract_y
_atom_site_fract_z
_atom_site_occupancy
Ba1 Ba 0.000 0.000 0.920 1
Ba2 Ba 0.500 0.500 0.317 1
Mg1 Mg 0.000 0.000 0.553 1
Te1 Te 0.500 0.500 0.710 1
```

Values from the calculation:
distance to the lowest polymorph of the same formula	236	meV/atom
ΔE_f (raw)	-549	meV per atom
calculated total energy	-10.778	eV for the cell shown
D(E_F)	1.91	states/eV/f.u.